## CeV2 (GGA-PBE)

Data for a geometry-optimized CeV2 structure.

abc: 3.1742 3.1742 5.8465
angles: 105.75 105.75 90.00
Element x y z (fractional)
1 Ce 0.0000 0.0000 0.0000
2 V 0.3031 0.3031 0.6062
3 V 0.6969 0.6969 0.3938

Calculated values
- Energy of formation: 29.7 kJ/mol of atoms
- VASP energy: -7.749 eV/atom